# 1
Material: Li2AgIr
Method: DFT, GGA-PBE
State: optimized geometry

Cell and atoms, written as POSCAR:
```
Li2AgIr
1.0
-4.391 1.694 -2.388
3.756 -2.007 -2.835
-0.979 -2.364 -0.548
Ag Ir Li
1 1 2
Cartesian
1.389 -2.186 -1.692 Ag
-0.317 -0.156 -2.611 Ir
0.000 0.000 0.000 Li
-2.685 -0.335 -1.468 Li
```

Summary:
DFT formation energy (meV/atom): -64.5

# 2
Material: CeHo2ScTe4
Method: DFT, GGA-PBE
State: optimized geometry

Cell and atoms, written as POSCAR:
```
CeHo2ScTe4
1.0
-1.690 -0.955 3.838
6.817 0.739 3.187
-3.484 6.653 0.121
Ce Ho Sc Te
1 2 1 4
Cartesian
2.563 -0.108 3.512 Ce
-2.587 2.849 1.980 Ho
1.666 3.696 1.654 Ho
0.000 0.000 0.000 Sc
-0.078 1.333 2.708 Te
1.721 5.104 4.438 Te
-0.977 5.139 0.849 Te
4.310 2.253 2.459 Te
```

Summary:
Energy relative to the elements, uncorrected (eV per atom): -1.228

# 3
Material: TiHgSbI2
Method: DFT, GGA-PBE
State: optimized geometry

Cell and atoms, written as POSCAR:
```
TiHgSbI2
1.0
-0.966 -4.819 3.075
-2.529 -2.436 -4.613
4.993 -2.055 -1.652
I Sb Hg Ti
2 1 1 1
Cartesian
-1.264 -1.218 -2.306 I
-0.483 -2.409 1.537 I
2.497 -1.028 -0.826 Sb
0.000 0.000 0.000 Hg
0.749 -4.655 -1.595 Ti
```

Summary:
Energy relative to the elements, uncorrected (eV per atom): 0.930

# 4
Material: Dy2HoTaN4
Method: DFT, GGA-PBE
State: optimized geometry

Cell and atoms, written as POSCAR:
```
Dy2HoTaN4
1.0
3.340 0.000 0.000
0.000 5.805 0.119
0.000 -2.013 5.454
Dy Ho Ta N
2 1 1 4
Cartesian
1.670 -1.006 2.727 Dy
0.000 1.896 2.787 Dy
1.670 2.902 0.060 Ho
0.000 0.000 0.000 Ta
1.670 0.868 1.265 N
1.670 2.924 4.308 N
0.000 -0.175 4.210 N
0.000 3.968 1.363 N
```

Summary:
Energy relative to the elements, uncorrected (eV per atom): -1.556

# 5
Material: ZnInCl2
Method: DFT, GGA-PBE
State: optimized geometry

Cell and atoms, written as POSCAR:
```
ZnInCl2
1.0
-2.385 2.938 4.086
3.262 -2.648 3.659
2.639 2.575 1.195
Zn Cl In
1 2 1
Cartesian
2.951 -0.037 2.427 Zn
0.000 0.000 0.000 Cl
0.439 0.145 3.872 Cl
0.127 2.756 2.640 In
```

Summary:
Energy relative to the elements, uncorrected (eV per atom): -0.386

# 6
Material: CaLa4Pm3Te8
Method: DFT, GGA-PBE
State: optimized geometry

Cell and atoms, written as POSCAR:
```
CaLa4Pm3Te8
1.0
9.064 0.000 0.000
0.000 9.051 -0.015
-4.532 -4.527 6.412
Ca La Pm Te
1 4 3 8
Cartesian
0.000 4.525 -0.007 Ca
4.532 0.000 0.000 La
2.266 -2.264 3.206 La
0.000 0.000 0.000 La
-2.266 -2.264 3.206 La
4.532 4.525 -0.007 Pm
2.266 2.262 3.198 Pm
-2.266 2.262 3.198 Pm
-2.282 2.201 6.369 Te
0.000 4.480 3.142 Te
0.000 0.042 3.232 Te
2.282 2.201 6.369 Te
2.250 2.323 0.028 Te
4.532 4.482 3.165 Te
4.532 0.043 3.255 Te
6.814 2.323 0.028 Te
```

Summary:
Energy relative to the elements, uncorrected (eV per atom): -1.522

# 7
Material: SrGe3Pt
Method: DFT, GGA-PBE
State: optimized geometry

Cell and atoms, written as POSCAR:
```
SrGe3Pt
1.0
4.537 -0.002 -0.002
-0.002 4.537 -0.002
-2.269 -2.269 5.145
Sr Ge Pt
1 3 1
Cartesian
0.001 0.001 0.018 Sr
2.266 2.266 1.017 Ge
0.001 2.266 2.544 Ge
2.266 0.001 2.544 Ge
-0.002 -0.002 3.669 Pt
```

Summary:
DFT formation energy (meV/atom): -629.6

# 8
Material: PmYZn4
Method: DFT, GGA-PBE
State: optimized geometry

Cell and atoms, written as POSCAR:
```
PmYZn4
1.0
5.513 0.000 0.000
2.756 4.774 0.000
2.756 1.591 4.501
Y Zn Pm
1 4 1
Cartesian
0.000 0.000 0.000 Y
5.513 3.183 0.561 Zn
5.513 1.590 2.814 Zn
6.892 3.979 2.814 Zn
4.133 3.979 2.814 Zn
2.756 1.591 1.125 Pm
```

Summary:
DFT formation energy (meV/atom): -336.2

> What is the formula in the eighth record?

PmYZn4

> Which formula does entry 3 have?

TiHgSbI2